{"formula": "Ac3As2Pt4S2", "functional": "GGA-PBE", "state": "optimized geometry", "mass_density_g_cm3": 10.72, "raw_formation_energy_ev_per_fu": -12.5, "cell": [[-3.0866, -1.5212, -2.4139], [0.7200, -3.8563, 1.5096], [-8.4650, 5.1178, 11.2587]], "species": ["S", "S", "Ac", "Ac", "Ac", "Pt", "Pt", "Pt", "Pt", "As", "As"], "frac_coords": [[0.2892, 0.2892, 0.5784], [0.7108, 0.7108, 0.4216], [0.0000, 0.0000, 0.0000], [0.1851, 0.1851, 0.3702], [0.8149, 0.8149, 0.6298], [0.0975, 0.5975, 0.1951], [0.5975, 0.0975, 0.1951], [0.4025, 0.9025, 0.8049], [0.9025, 0.4025, 0.8049], [0.4469, 0.4469, 0.8937], [0.5531, 0.5531, 0.1063]]}